# 1
# KBaTlIn GGA-PBE optimized geometry
data_KBaTlIn
_space_group_name_H-M_alt 'F -4 3 m'
_space_group_IT_number 216
_space_group_name_Hall 'F -4 2 3'
_cell_length_a 8.4929
_cell_length_b 8.4929
_cell_length_c 8.4929
_cell_angle_alpha 90.00
_cell_angle_beta 90.00
_cell_angle_gamma 90.00
loop_
_atom_site_label
_atom_site_fract_x
_atom_site_fract_y
_atom_site_fract_z
K1 0.0000 0.0000 0.0000
Ba1 0.0000 0.0000 0.5000
Tl1 0.2500 0.2500 0.7500
In1 0.2500 0.2500 0.2500
# formation energy = -18.3 kJ/mol of atoms
# crystal system = cubic


# 2
# Cd2HgAu8 GGA-PBE optimized geometry
data_Cd2HgAu8
_space_group_name_H-M_alt 'C 1 2/m 1'
_space_group_IT_number 12
_cell_length_a 8.6381
_cell_length_b 11.5009
_cell_length_c 4.4374
_cell_angle_alpha 90.00
_cell_angle_beta 93.70
_cell_angle_gamma 90.00
loop_
_space_group_symop_operation_xyz
'x,y,z'
'-x,-y,-z'
'-x,y,-z'
'x,-y,z'
'x+1/2,y+1/2,z'
'-x+1/2,-y+1/2,-z'
'-x+1/2,y+1/2,-z'
'x+1/2,-y+1/2,z'
loop_
_atom_site_label
_atom_site_fract_x
_atom_site_fract_y
_atom_site_fract_z
Cd1 0.0000 0.1244 0.0000
Hg1 0.0000 0.5000 0.5000
Au1 0.0000 0.2607 0.5000
Au2 0.1663 0.0000 0.5074
Au3 0.1724 0.3646 0.0124
# formation energy = 3.0 kJ/mol of atoms
# crystal system = monoclinic